Material: BaLa2MgIr
Method: DFT, PBE
State: relaxed

Lattice parameters (Å, degrees): 5.644 5.644 5.485 90.00 90.00 90.00
Space group P4/mmm (No. 123)
One atom of each set of equivalent atoms:
Ba 0.000 0.000 0.000 x1
La 0.000 0.500 0.500 x2
Mg 0.500 0.500 0.000 x1
Ir 0.500 0.500 0.500 x1

Values from the calculation:
**Spin magnetization**: 0.000 μB per atom
**ΔE to the lowest computed polymorph**: 0.00 eV per formula unit
**Energy of formation from the pure elements**: -0.3091 eV per atom

***

Material: BeNbPdAu2
Method: DFT, PBE
State: relaxed

Lattice parameters (Å, degrees): 4.413 4.413 4.273 90.00 90.00 90.00
Space group P4/mmm (No. 123)
One atom of each set of equivalent atoms:
Be 0.000 0.000 0.000 x1
Nb 0.500 0.500 0.500 x1
Pd 0.000 0.000 0.500 x1
Au 0.000 0.500 0.000 x2

Values from the calculation:
**Spin magnetization**: 0.410 μB per atom
**Energy of formation from the pure elements**: 0.2126 eV per atom

***

no.,volume (Å³/cell)
1,174.7
2,83.2